PmTl2IO8 | PBE-GGA | optimized geometry

Structure (POSCAR):
```
PmTl2IO8
1.0
5.128 -0.048 0.144
-0.021 5.129 0.157
0.223 0.230 6.906
O Tl I Pm
8 2 1 1
direct
0.841 0.192 0.795 O
0.814 0.165 0.204 O
0.724 0.733 0.997 O
0.276 0.267 0.003 O
0.681 0.691 0.524 O
0.159 0.808 0.205 O
0.186 0.835 0.796 O
0.319 0.309 0.476 O
0.532 0.533 0.250 Tl
0.468 0.467 0.750 Tl
0.000 0.000 0.000 I
0.000 0.000 0.500 Pm
```

Values from the calculation:
The value obtained for the total magnetic moment is 0.0000 μB/atom. The uncorrected formation energy comes out at -1.04 eV/atom.